No. 1
This record from the Alexandria database describes a geometry-optimized Si2NiOs structure. The functional is PBE-GGA.

Properties
**Space group**: P4/mmm, No. 123
**Mass density**: 10.22 g cm⁻³
**Electronic total energy**: -28.677 eV/f.u.
**DOS at the Fermi energy**: 2.4 states/eV/cell

a = 4.0805 Å, b = 4.0802 Å, c = 2.9769 Å
α = 90.00°, β = 90.00°, γ = 90.00°
Last column: nearest neighbours and their distance in Å.
Atoms (fractional coordinates):
Ni 0.5000 0.0000 0.5000  8 Si 2.53
Os 0.0000 0.5000 0.5000  8 Si 2.53
Si 0.0000 0.0000 0.0000  4 Os 2.53, 4 Ni 2.53
Si 0.5000 0.5000 0.0000  4 Ni 2.53, 4 Os 2.53

---

No. 2
This record from the Alexandria database describes a geometry-optimized SiNiOs2 structure. The functional is PBE-GGA.

Properties
**Space group**: Pmmm, No. 47
**Mass density**: 14.51 g cm⁻³
**Electronic total energy**: -32.880 eV/f.u.
**DOS at the Fermi energy**: 2.7 states/eV/cell

a = 2.7508 Å, b = 4.5569 Å, c = 4.2656 Å
α = 90.00°, β = 90.00°, γ = 90.00°
Last column: nearest neighbours and their distance in Å.
Atoms (fractional coordinates):
Ni 0.0000 0.5000 0.5000  4 Os 2.54, 4 Si 2.66, 2 Ni 2.75
Os 0.0000 0.0000 0.0000  4 Si 2.54, 6 Os 2.66-2.75
Os 0.5000 0.5000 0.0000  4 Ni 2.54, 6 Os 2.66-2.75
Si 0.5000 0.0000 0.5000  4 Os 2.54, 4 Ni 2.66, 2 Si 2.75